Entry 1:
Here is a geometry-optimized Na4TiP2O9 structure from Alexandria via LeMat-Bulk. Energies are from PBEsol.

Unit cell a=7.028 b=7.599 c=8.531 alpha=90.00 beta=114.32 gamma=90.00
Fractional positions:
Na 0.250 0.500 0.000
Na 0.616 0.234 0.231
Na 0.750 0.500 0.000
Na 0.884 0.234 0.769
Na 0.500 0.000 0.500
Na 0.000 0.000 0.500
Na 0.116 0.766 0.231
Na 0.384 0.766 0.769
O 0.250 0.591 0.500
O 0.975 0.328 0.318
O 0.476 0.289 0.953
O 0.750 0.409 0.500
O 0.524 0.711 0.047
O 0.145 0.048 0.290
O 0.025 0.672 0.682
O 0.855 0.952 0.710
O 0.475 0.672 0.318
O 0.843 0.672 0.318
O 0.355 0.048 0.710
O 0.645 0.952 0.290
O 0.657 0.672 0.682
O 0.343 0.328 0.318
O 0.976 0.711 0.953
O 0.525 0.328 0.682
O 0.157 0.328 0.682
O 0.024 0.289 0.047
Ti 0.000 0.500 0.500
Ti 0.500 0.500 0.500
P 0.619 0.759 0.238
P 0.881 0.759 0.762
P 0.381 0.241 0.762
P 0.119 0.241 0.238

- space-group type = Cmme
- final energy (eV/atom) = -6.9546


Entry 2:
Here is a geometry-optimized CsTi2Cl7 structure from Alexandria via LeMat-Bulk. Energies are from PBEsol.

Unit cell a=6.445 b=7.281 c=11.118 alpha=90.00 beta=90.00 gamma=93.54
Each line ends with the local moment (μB).
Fractional positions:
Cl 0.741 0.357 0.000  -0.01
Cl 0.559 0.112 0.750  -0.01
Cl 0.119 0.870 0.750  0.00
Cl 0.881 0.130 0.250  0.00
Cl 0.259 0.643 0.000  -0.01
Cl 0.737 0.889 0.996  0.00
Cl 0.259 0.643 0.500  -0.01
Cl 0.263 0.111 0.004  0.00
Cl 0.446 0.347 0.250  0.01
Cl 0.737 0.889 0.504  0.00
Cl 0.263 0.111 0.496  0.00
Cl 0.441 0.888 0.250  -0.01
Cl 0.741 0.357 0.500  -0.01
Cl 0.554 0.653 0.750  0.01
Ti 0.416 0.875 0.612  0.85
Ti 0.584 0.125 0.112  0.85
Ti 0.416 0.875 0.888  0.85
Ti 0.584 0.125 0.388  0.85
Cs 0.073 0.373 0.750  0.00
Cs 0.927 0.627 0.250  0.00

- space-group type = P2_1/m
- final energy (eV/atom) = -4.8835
- energy relative to the lowest polymorph listed for this composition (kJ per mole of atoms) = 0.0


Entry 3:
Here is a geometry-optimized MnZnPdI2 structure from Alexandria via LeMat-Bulk. Energies are from PBEsol.

Unit cell a=4.709 b=5.397 c=5.397 alpha=90.00 beta=90.00 gamma=90.00
Each line ends with the local moment (μB).
Fractional positions:
Pd 0.500 0.000 0.000  0.08
Mn 0.500 0.500 0.500  4.67
I 0.000 0.000 0.500  0.06
I 0.000 0.500 0.000  0.06
Zn 0.000 0.000 0.000  0.00

- space-group type = P4/mmm
- final energy (eV/atom) = -3.4255


Entry 4:
Here is a geometry-optimized ZrPt2Rh structure from Alexandria via LeMat-Bulk. Energies are from PBEsol.

Unit cell a=3.971 b=3.971 c=4.866 alpha=114.08 beta=114.08 gamma=90.00
Fractional positions:
Pt 0.750 0.250 0.500
Pt 0.500 0.500 0.000
Zr 0.000 0.000 0.000
Rh 0.250 0.750 0.500

- space-group type = I-4m2
- final energy (eV/atom) = -8.6176
- E_form (meV per atom) = -829


Entry 5:
Here is a geometry-optimized LaYMo structure from Alexandria via LeMat-Bulk. Energies are from PBEsol.

Unit cell a=3.450 b=3.450 c=7.260 alpha=90.00 beta=90.00 gamma=120.00
Fractional positions:
Mo 0.667 0.333 0.673
Y 0.333 0.667 0.376
La 0.000 0.000 0.951

- space-group type = P3m1
- final energy (eV/atom) = -7.4679
- E_form (meV per atom) = 511
- energy relative to the lowest polymorph listed for this composition (kJ per mole of atoms) = 0.0


Entry 6:
Here is a geometry-optimized BaYAg2 structure from Alexandria via LeMat-Bulk. Energies are from PBEsol.

Unit cell a=5.355 b=5.355 c=5.355 alpha=60.00 beta=60.00 gamma=60.00
Fractional positions:
Ag 0.750 0.750 0.750
Ag 0.250 0.250 0.250
Y 0.000 0.000 0.000
Ba 0.500 0.500 0.500

- space-group type = Fm-3m
- final energy (eV/atom) = -3.9860
- E_form (meV per atom) = -88
- energy relative to the lowest polymorph listed for this composition (kJ per mole of atoms) = 14.8


Entry 7:
Here is a geometry-optimized La2ZnRu structure from Alexandria via LeMat-Bulk. Energies are from PBEsol.

Unit cell a=3.458 b=4.751 c=6.217 alpha=112.46 beta=106.15 gamma=90.00
Fractional positions:
La 0.789 0.789 0.579
La 0.991 0.491 0.981
Zn 0.196 0.196 0.393
Ru 0.524 0.024 0.047

- space-group type = Imm2
- final energy (eV/atom) = -5.7442
- E_form (meV per atom) = -132


Entry 8:
Here is a geometry-optimized BaTl2Sb structure from Alexandria via LeMat-Bulk. Energies are from PBEsol.

Unit cell a=4.704 b=4.704 c=6.003 alpha=90.00 beta=90.00 gamma=90.00
Fractional positions:
Sb 0.500 0.500 0.737
Tl 0.000 0.500 0.097
Tl 0.500 0.000 0.097
Ba 0.000 0.000 0.562

- space-group type = P4mm
- final energy (eV/atom) = -3.4958
- energy relative to the lowest polymorph listed for this composition (kJ per mole of atoms) = 0.0


Entry 9:
Here is a geometry-optimized ZnPtRh2 structure from Alexandria via LeMat-Bulk. Energies are from PBEsol.

Unit cell a=3.814 b=3.814 c=4.635 alpha=114.29 beta=114.29 gamma=90.00
Fractional positions:
Zn 0.500 0.500 0.000
Rh 0.750 0.250 0.500
Rh 0.000 0.000 0.000
Pt 0.250 0.750 0.500

- space-group type = I-4m2
- final energy (eV/atom) = -6.4230
- E_form (meV per atom) = -217


Entry 10:
Here is a geometry-optimized Ba2AsAu structure from Alexandria via LeMat-Bulk. Energies are from PBEsol.

Unit cell a=4.777 b=4.777 c=7.852 alpha=72.29 beta=72.29 gamma=60.00
Fractional positions:
As 0.500 0.500 0.500
Ba 0.244 0.244 0.268
Ba 0.756 0.756 0.732
Au 0.000 0.000 0.000

- space-group type = R-3m
- final energy (eV/atom) = -4.1534
- E_form (meV per atom) = -821


Entry 11:
Here is a geometry-optimized AsSe3 structure from Alexandria via LeMat-Bulk. Energies are from PBEsol.

Unit cell a=3.547 b=3.547 c=7.622 alpha=90.00 beta=90.00 gamma=120.00
Fractional positions:
As 0.000 0.000 0.000
Se 0.333 0.667 0.237
Se 0.000 0.000 0.500
Se 0.333 0.667 0.763

- space-group type = P-6m2
- final energy (eV/atom) = -3.9384
- energy relative to the lowest polymorph listed for this composition (kJ per mole of atoms) = 0.0


Entry 12:
Here is a geometry-optimized BeWCl2 structure from Alexandria via LeMat-Bulk. Energies are from PBEsol.

Unit cell a=2.873 b=4.491 c=4.491 alpha=102.73 beta=90.00 gamma=90.00
Fractional positions:
W 0.500 0.000 0.000
Cl 0.000 0.500 0.000
Cl 0.000 0.000 0.500
Be 0.500 0.500 0.500

- space-group type = Cmmm
- final energy (eV/atom) = -4.4493
- energy relative to the lowest polymorph listed for this composition (kJ per mole of atoms) = 112.9


Entry 13:
Here is a geometry-optimized Li24Rh5 structure from Alexandria via LeMat-Bulk. Energies are from PBEsol.

Unit cell a=8.200 b=8.200 c=8.200 alpha=109.47 beta=109.47 gamma=109.47
Fractional positions:
Li 0.584 0.287 0.000
Li 0.816 0.000 0.642
Li 0.358 0.358 0.174
Li 0.174 0.358 0.358
Li 0.826 0.184 0.184
Li 0.000 0.584 0.287
Li 0.000 0.816 0.642
Li 0.642 0.000 0.816
Li 0.287 0.584 0.000
Li 0.584 0.000 0.287
Li 0.287 0.000 0.584
Li 0.816 0.642 0.000
Li 0.704 0.416 0.416
Li 0.000 0.287 0.584
Li 0.713 0.296 0.713
Li 0.296 0.713 0.713
Li 0.184 0.184 0.826
Li 0.416 0.416 0.704
Li 0.000 0.642 0.816
Li 0.713 0.713 0.296
Li 0.416 0.704 0.416
Li 0.642 0.816 0.000
Li 0.358 0.174 0.358
Li 0.184 0.826 0.184
Rh 0.670 0.670 0.670
Rh 0.000 0.330 0.000
Rh 0.000 0.000 0.330
Rh 0.000 0.000 0.000
Rh 0.330 0.000 0.000

- space-group type = I-43m
- final energy (eV/atom) = -3.0098
- E_form (meV per atom) = 21


Entry 14:
Here is a geometry-optimized Tl2PtPb structure from Alexandria via LeMat-Bulk. Energies are from PBEsol.

Unit cell a=5.090 b=5.090 c=5.090 alpha=60.00 beta=60.00 gamma=60.00
Fractional positions:
Tl 0.750 0.750 0.750
Tl 0.250 0.250 0.250
Pt 0.500 0.500 0.500
Pb 0.000 0.000 0.000

- space-group type = Fm-3m
- final energy (eV/atom) = -3.8341
- E_form (meV per atom) = 222
- energy relative to the lowest polymorph listed for this composition (kJ per mole of atoms) = 23.4


Entry 15:
Here is a geometry-optimized Si2HgRu structure from Alexandria via LeMat-Bulk. Energies are from PBEsol.

Unit cell a=2.989 b=2.989 c=8.312 alpha=79.64 beta=79.64 gamma=60.00
Fractional positions:
Si 0.740 0.740 0.780
Si 0.996 0.996 0.013
Hg 0.501 0.501 0.496
Ru 0.263 0.263 0.211

- space-group type = R3m
- final energy (eV/atom) = -5.3956


Entry 16:
Here is a geometry-optimized Rb3ZnGe structure from Alexandria via LeMat-Bulk. Energies are from PBEsol.

Unit cell a=6.729 b=6.729 c=6.729 alpha=90.00 beta=90.00 gamma=90.00
Each line ends with the local moment (μB).
Fractional positions:
Ge 0.000 0.000 0.000  0.42
Rb 0.000 0.500 0.000  0.02
Rb 0.500 0.000 0.000  0.02
Rb 0.000 0.000 0.500  0.02
Zn 0.500 0.500 0.500  -0.02

- space-group type = Pm-3m
- final energy (eV/atom) = -1.5079
- E_form (meV per atom) = 411


Entry 17:
Here is a geometry-optimized As2IrSeBr structure from Alexandria via LeMat-Bulk. Energies are from PBEsol.

Unit cell a=4.743 b=4.743 c=5.036 alpha=90.00 beta=90.00 gamma=90.00
Fractional positions:
Se 0.500 0.500 0.500
Ir 0.000 0.000 0.000
As 0.000 0.500 0.000
As 0.500 0.000 0.000
Br 0.000 0.000 0.500

- space-group type = P4/mmm
- final energy (eV/atom) = -4.5803


Entry 18:
Here is a geometry-optimized Be2CrIr2 structure from Alexandria via LeMat-Bulk. Energies are from PBEsol.

Unit cell a=2.752 b=6.377 c=6.377 alpha=90.00 beta=90.00 gamma=90.00
Each line ends with the local moment (μB).
Fractional positions:
Ir 0.500 0.823 0.323  0.11
Ir 0.500 0.177 0.677  0.11
Ir 0.500 0.323 0.177  0.11
Ir 0.500 0.677 0.823  0.11
Be 0.000 0.120 0.380  -0.01
Be 0.000 0.380 0.880  -0.01
Be 0.000 0.880 0.620  -0.01
Be 0.000 0.620 0.120  -0.01
Cr 0.000 0.000 0.000  2.30
Cr 0.000 0.500 0.500  2.30

- space-group type = P4/mbm
- final energy (eV/atom) = -7.9034
- E_form (meV per atom) = -326


Entry 19:
Here is a geometry-optimized CaReW2 structure from Alexandria via LeMat-Bulk. Energies are from PBEsol.

Unit cell a=4.536 b=4.536 c=4.536 alpha=60.00 beta=60.00 gamma=60.00
Fractional positions:
Re 0.500 0.500 0.500
W 0.750 0.750 0.750
W 0.250 0.250 0.250
Ca 0.000 0.000 0.000

- space-group type = Fm-3m
- final energy (eV/atom) = -9.9906
- E_form (meV per atom) = 779
- energy relative to the lowest polymorph listed for this composition (kJ per mole of atoms) = 0.0


Entry 20:
Here is a geometry-optimized MnOsPt structure from Alexandria via LeMat-Bulk. Energies are from PBEsol.

Unit cell a=4.003 b=4.003 c=4.003 alpha=60.00 beta=60.00 gamma=60.00
Each line ends with the local moment (μB).
Fractional positions:
Pt 0.500 0.500 0.500  0.15
Os 0.000 0.000 0.000  -0.37
Mn 0.250 0.250 0.250  2.02

- space-group type = F-43m
- final energy (eV/atom) = -9.2406
- E_form (meV per atom) = 406


Entry 21:
Here is a geometry-optimized Li7Ni9O16 structure from Alexandria via LeMat-Bulk. Energies are from PBEsol.

Unit cell a=4.890 b=5.681 c=10.294 alpha=74.76 beta=76.93 gamma=74.28
Each line ends with the local moment (μB).
Fractional positions:
O 0.728 0.017 0.319  0.07
O 0.261 0.848 0.426  -0.01
O 0.250 0.349 0.432  -0.02
O 0.272 0.983 0.681  0.07
O 0.750 0.651 0.568  -0.02
O 0.744 0.272 0.806  0.08
O 0.273 0.208 0.193  0.12
O 0.730 0.558 0.303  -0.02
O 0.718 0.417 0.065  0.07
O 0.282 0.583 0.935  0.07
O 0.739 0.152 0.574  -0.01
O 0.710 0.918 0.069  0.05
O 0.727 0.792 0.807  0.12
O 0.270 0.442 0.697  -0.02
O 0.290 0.082 0.931  0.05
O 0.256 0.728 0.194  0.08
Ni 0.500 0.749 0.000  0.74
Ni 0.997 0.681 0.379  -1.02
Ni 0.507 0.121 0.749  0.10
Ni 0.500 0.251 0.000  0.74
Ni 0.003 0.319 0.621  -1.02
Ni 0.500 0.000 0.500  0.92
Ni 0.499 0.623 0.747  0.82
Ni 0.493 0.879 0.251  0.10
Ni 0.501 0.377 0.253  0.82
Li 0.001 0.440 0.874  0.00
Li 0.500 0.500 0.500  0.00
Li 0.998 0.814 0.622  0.00
Li 0.999 0.560 0.126  0.00
Li 0.002 0.186 0.378  0.00
Li 0.003 0.933 0.872  0.01
Li 0.997 0.067 0.128  0.01

- space-group type = P-1
- final energy (eV/atom) = -6.0048


Entry 22:
Here is a geometry-optimized FeSi3Cl structure from Alexandria via LeMat-Bulk. Energies are from PBEsol.

Unit cell a=4.316 b=4.316 c=4.316 alpha=90.00 beta=90.00 gamma=90.00
Fractional positions:
Si 0.000 0.500 0.000
Si 0.000 0.000 0.500
Si 0.500 0.000 0.000
Cl 0.500 0.500 0.500
Fe 0.000 0.000 0.000

- space-group type = Pm-3m
- final energy (eV/atom) = -5.7368


Entry 23:
Here is a geometry-optimized ZrBeNi2 structure from Alexandria via LeMat-Bulk. Energies are from PBEsol.

Unit cell a=4.151 b=4.151 c=4.151 alpha=60.00 beta=60.00 gamma=60.00
Fractional positions:
Zr 0.500 0.500 0.500
Ni 0.750 0.750 0.750
Ni 0.250 0.250 0.250
Be 0.000 0.000 0.000

- space-group type = Fm-3m
- final energy (eV/atom) = -6.6645
- E_form (meV per atom) = -313
- energy relative to the lowest polymorph listed for this composition (kJ per mole of atoms) = 0.0


Entry 24:
Here is a geometry-optimized SmC2 structure from Alexandria via LeMat-Bulk. Energies are from PBEsol.

Unit cell a=3.722 b=4.111 c=3.722 alpha=63.09 beta=90.00 gamma=116.91
Fractional positions:
Sm 0.000 0.000 0.000
C 0.397 0.794 0.603
C 0.603 0.206 0.397

- space-group type = I4/mmm
- final energy (eV/atom) = -8.2730
- E_form (meV per atom) = -146